Here is a relaxed In3GePb crystal from Alexandria via LeMat-Bulk. Energies are from PBE.

abc: 5.393 5.393 5.393
angles: 90.00 90.00 90.00
Space group Pm-3m (No. 221)
Symmetry-distinct sites (fractional):
In 0.000 0.000 0.500 (multiplicity 3)
Ge 0.000 0.000 0.000 (multiplicity 1)
Pb 0.500 0.500 0.500 (multiplicity 1)

Values from the calculation:
Polymorph energy (0 for the lowest one)   0 meV per atom
Total magnetization   0.00 μB/f.u.
Density of states at the Fermi level   1.0919 states/eV/atom
Energy relative to the elements   0.342 eV/atom

Here is a relaxed In2GePb crystal from Alexandria via LeMat-Bulk. Energies are from PBE.

abc: 4.696 4.696 4.812
angles: 90.00 90.00 90.00
Space group P4/mmm (No. 123)
Symmetry-distinct sites (fractional):
In 0.000 0.500 0.000 (multiplicity 2)
Ge 0.000 0.000 0.500 (multiplicity 1)
Pb 0.500 0.500 0.500 (multiplicity 1)

Values from the calculation:
Polymorph energy (0 for the lowest one)   3 meV per atom
Total magnetization   0.00 μB/f.u.
Density of states at the Fermi level   0.5303 states/eV/atom
Energy relative to the elements   0.139 eV/atom

Here is a relaxed InGePb3 crystal from Alexandria via LeMat-Bulk. Energies are from PBE.

abc: 5.593 5.593 5.593
angles: 90.00 90.00 90.00
Space group Pm-3m (No. 221)
Symmetry-distinct sites (fractional):
In 0.000 0.000 0.000 (multiplicity 1)
Ge 0.500 0.500 0.500 (multiplicity 1)
Pb 0.000 0.500 0.500 (multiplicity 3)

Values from the calculation:
Polymorph energy (0 for the lowest one)   0 meV per atom
Total magnetization   0.00 μB/f.u.
Density of states at the Fermi level   0.8640 states/eV/atom
Energy relative to the elements   0.421 eV/atom

Here is a relaxed In2Ge2Pb crystal from Alexandria via LeMat-Bulk. Energies are from PBE.

abc: 4.612 4.612 12.420
angles: 90.00 90.00 90.00
Space group I4/mmm (No. 139)
Symmetry-distinct sites (fractional):
In 0.000 0.000 0.114 (multiplicity 4)
Ge 0.000 0.500 0.250 (multiplicity 4)
Pb 0.000 0.000 0.500 (multiplicity 2)

Values from the calculation:
Polymorph energy (0 for the lowest one)   57 meV per atom
Total magnetization   0.00 μB/f.u.
Density of states at the Fermi level   0.4414 states/eV/atom
Energy relative to the elements   0.218 eV/atom

Here is a relaxed In3GePb crystal from Alexandria via LeMat-Bulk. Energies are from PBE.

abc: 5.776 5.776 5.776
angles: 90.00 90.00 90.00
Space group Pm-3m (No. 221)
Symmetry-distinct sites (fractional):
In 0.000 0.000 0.500 (multiplicity 3)
Ge 0.500 0.500 0.500 (multiplicity 1)
Pb 0.000 0.000 0.000 (multiplicity 1)

Values from the calculation:
Polymorph energy (0 for the lowest one)   466 meV per atom
Total magnetization   1.02 μB/f.u.
Density of states at the Fermi level   0.9555 states/eV/atom
Energy relative to the elements   0.808 eV/atom

Here is a relaxed Rb2In4Ge3Pb crystal from Alexandria via LeMat-Bulk. Energies are from PBE.

abc: 5.121 5.121 11.417
angles: 90.00 90.00 90.00
Space group P-4m2 (No. 115)
Symmetry-distinct sites (fractional):
Rb 0.000 0.500 0.247 (multiplicity 2)
In 0.000 0.000 0.000 (multiplicity 1)
In 0.000 0.500 0.638 (multiplicity 2)
In 0.500 0.500 0.000 (multiplicity 1)
Ge 0.000 0.500 0.880 (multiplicity 2)
Ge 0.500 0.500 0.500 (multiplicity 1)
Pb 0.000 0.000 0.500 (multiplicity 1)

Values from the calculation:
Total magnetization   0.00 μB/f.u.
Density of states at the Fermi level   0.2817 states/eV/atom
Energy relative to the elements   -0.071 eV/atom

Here is a relaxed InReGePb2 crystal from Alexandria via LeMat-Bulk. Energies are from PBE.

abc: 5.505 5.505 5.180
angles: 90.00 90.00 90.00
Space group P4/mmm (No. 123)
Symmetry-distinct sites (fractional):
In 0.000 0.000 0.000 (multiplicity 1)
Re 0.500 0.500 0.000 (multiplicity 1)
Ge 0.000 0.000 0.500 (multiplicity 1)
Pb 0.000 0.500 0.500 (multiplicity 2)

Values from the calculation:
Total magnetization   3.60 μB/f.u.
Density of states at the Fermi level   0.7389 states/eV/atom
Energy relative to the elements   1.507 eV/atom

Here is a relaxed In4GePbS8 crystal from Alexandria via LeMat-Bulk. Energies are from PBE.

abc: 8.1607 8.1607 18.0251
angles: 90.00 90.00 120.00
Space group R3m (No. 160, hexagonal axes)
Symmetry-distinct sites (fractional):
In 0.0000 0.0000 0.0000 (multiplicity 3)
In 0.1735 0.3471 0.2181 (multiplicity 9)
Ge 0.0000 0.0000 0.3811 (multiplicity 3)
Pb 0.0000 0.0000 0.7918 (multiplicity 3)
S 0.0000 0.0000 0.1418 (multiplicity 3)
S 0.0000 0.0000 0.6340 (multiplicity 3)
S 0.0567 0.5283 0.1324 (multiplicity 9)
S 0.1704 0.3407 0.9557 (multiplicity 9)

Values from the calculation:
Total magnetization   0.00 μB/f.u.
Raw formation energy   -0.4430 eV/atom
Density of states at the Fermi level   0.1775 states/eV/atom

Here is a relaxed In2GePbS6 crystal from Alexandria via LeMat-Bulk. Energies are from PBE.

abc: 12.105 13.818 7.187
angles: 90.00 113.55 90.00
Space group C2/c (No. 15)
Symmetry-distinct sites (fractional):
In 0.113 0.086 0.138 (multiplicity 8)
Ge 0.000 0.324 0.750 (multiplicity 4)
Pb 0.000 0.404 0.250 (multiplicity 4)
S 0.121 0.261 0.050 (multiplicity 8)
S 0.126 0.079 0.501 (multiplicity 8)
S 0.131 0.426 0.695 (multiplicity 8)

Values from the calculation:
Total magnetization   0.00 μB/f.u.
Raw formation energy   -0.4280 eV/atom
Density of states at the Fermi level   0.0000 states/eV/atom

Here is a relaxed In4GePbSe8 crystal from Alexandria via LeMat-Bulk. Energies are from PBE.

abc: 8.5619 8.5619 18.9224
angles: 90.00 90.00 120.00
Space group R3m (No. 160, hexagonal axes)
Symmetry-distinct sites (fractional):
In 0.0000 0.0000 0.0000 (multiplicity 3)
In 0.1724 0.3447 0.2195 (multiplicity 9)
Ge 0.0000 0.0000 0.3827 (multiplicity 3)
Pb 0.0000 0.0000 0.7894 (multiplicity 3)
Se 0.0000 0.0000 0.1435 (multiplicity 3)
Se 0.0000 0.0000 0.6351 (multiplicity 3)
Se 0.0528 0.5264 0.1345 (multiplicity 9)
Se 0.1740 0.3480 0.9613 (multiplicity 9)

Values from the calculation:
Total magnetization   0.00 μB/f.u.
Raw formation energy   -0.4143 eV/atom
Density of states at the Fermi level   0.2844 states/eV/atom

Here is a relaxed In2SiGePb crystal from Alexandria via LeMat-Bulk. Energies are from PBE.

abc: 5.768 5.768 5.285
angles: 90.00 90.00 90.00
Space group P4/mmm (No. 123)
Symmetry-distinct sites (fractional):
In 0.000 0.500 0.000 (multiplicity 2)
Si 0.000 0.000 0.500 (multiplicity 1)
Ge 0.500 0.500 0.500 (multiplicity 1)
Pb 0.000 0.000 0.000 (multiplicity 1)

Values from the calculation:
Total magnetization   0.00 μB/f.u.
Raw formation energy   1.0630 eV/atom
Density of states at the Fermi level   1.0899 states/eV/atom

Here is a relaxed InGe2PbW crystal from Alexandria via LeMat-Bulk. Energies are from PBE.

abc: 5.414 5.414 5.366
angles: 90.00 90.00 90.00
Space group P4/mmm (No. 123)
Symmetry-distinct sites (fractional):
In 0.000 0.000 0.000 (multiplicity 1)
Ge 0.000 0.500 0.500 (multiplicity 2)
Pb 0.500 0.500 0.500 (multiplicity 1)
W 0.500 0.500 0.000 (multiplicity 1)

Values from the calculation:
Total magnetization   2.99 μB/f.u.
Density of states at the Fermi level   0.5072 states/eV/atom
Energy relative to the elements   1.716 eV/atom